Record 1
DFT (PBE) results for an optimized crystal structure of Sm4ZnHg2.

a = 5.2001 Å, b = 5.2001 Å, c = 8.2440 Å
α = 108.38°, β = 108.38°, γ = 90.00°
Last column: nearest neighbours and their distance in Å.
Atoms (fractional coordinates):
Sm (0.3834, 0.8834, 0.7667)  2 Zn 3.12, 4 Hg 3.23-3.29, 1 Sm 3.44
Sm (0.8834, 0.3834, 0.7667)  2 Zn 3.12, 4 Hg 3.23-3.29, 1 Sm 3.44
Sm (0.6166, 0.1166, 0.2333)  2 Zn 3.12, 4 Hg 3.23-3.29, 1 Sm 3.44
Sm (0.1166, 0.6166, 0.2333)  2 Zn 3.12, 4 Hg 3.23-3.29, 1 Sm 3.44
Zn (0.0000, 0.0000, 0.0000)  8 Sm 3.12
Hg (0.7530, 0.7530, 0.5060)  8 Sm 3.23-3.29
Hg (0.2470, 0.2470, 0.4940)  8 Sm 3.23-3.29

As for the crystal system: tetragonal. As for the total energy: -0.1189 hartree per atom. For the total magnetization, the calculation gives 0.01 μB/cell. The calculation puts the density of states at the Fermi level at 8.72 states/eV/f.u. Its space-group type is I4/mmm (139).

=====

Record 2
DFT (PBE) results for an optimized crystal structure of K2ZrFe.

a = 7.1543 Å, b = 7.1543 Å, c = 3.1849 Å
α = 78.08°, β = 78.08°, γ = 130.14°
Last column: nearest neighbours and their distance in Å.
Atoms (fractional coordinates):
Fe (0.0000, 0.5000, 0.5000)  4 Zr 3.02-3.13, 2 Fe 3.18
K (0.0000, 0.0000, 0.0000)  6 K 3.02-3.18
K (0.5000, 0.5000, 0.0000)  6 K 3.02-3.18
Zr (0.5000, 0.0000, 0.5000)  4 Fe 3.02-3.13, 2 Zr 3.18

As for the crystal system: monoclinic. For the total magnetization, the calculation gives 1.73 μB/cell. The calculation puts the density of states at the Fermi level at 4.78 states/eV/f.u. Its space-group type is C2/m (12). Its offset from the most stable computed form is 566 meV per atom.

=====

Record 3
DFT (PBE) results for an optimized crystal structure of Cs2AcCuF6.

a = 6.6975 Å, b = 6.6935 Å, c = 7.2523 Å
α = 57.43°, β = 57.41°, γ = 80.47°
Last column: nearest neighbours and their distance in Å.
Atoms (fractional coordinates):
Cs (0.7501, 0.2497, 0.5002)  12 F 3.35-3.64
Cs (0.2499, 0.7503, 0.4998)  12 F 3.35-3.64
Ac (0.0000, 0.0000, 0.0000)  6 F 2.38-2.43
Cu (0.5000, 0.5000, 0.0000)  2 F 1.89
F (0.2315, 0.2316, 0.5373)  1 Ac 2.38
F (0.7679, 0.7668, 0.0001)  1 Ac 2.38
F (0.2820, 0.7193, 0.9999)  1 Cu 1.89
F (0.7180, 0.2807, 0.0001)  1 Cu 1.89
F (0.2321, 0.2332, 0.9999)  1 Ac 2.38
F (0.7685, 0.7684, 0.4627)  1 Ac 2.38

As for the crystal system: monoclinic. For the total magnetization, the calculation gives 0.07 μB/cell. The formation energy (no corrections) is -278.8 kJ per mole of atoms. The calculation puts the density of states at the Fermi level at 0.00 states/eV/f.u. Its space-group type is C2/m (12).

=====

Record 4
DFT (PBE) results for an optimized crystal structure of BaPrHgPb.

a = 5.7824 Å, b = 5.7824 Å, c = 5.7824 Å
α = 60.00°, β = 60.00°, γ = 60.00°
Last column: nearest neighbours and their distance in Å.
Atoms (fractional coordinates):
Pb (0.2500, 0.2500, 0.2500)  4 Pr 3.54, 4 Ba 3.54
Pr (0.0000, 0.0000, 0.0000)  4 Hg 3.54, 4 Pb 3.54
Hg (0.7500, 0.7500, 0.7500)  4 Ba 3.54, 4 Pr 3.54
Ba (0.5000, 0.5000, 0.5000)  4 Pb 3.54, 4 Hg 3.54

As for the crystal system: cubic. As for the total energy: -0.1147 hartree per atom. For the total magnetization, the calculation gives 0.32 μB/cell. The calculation puts the density of states at the Fermi level at 4.62 states/eV/f.u. Its space-group type is F-43m (216).

=====

Record 5
DFT (PBE) results for an optimized crystal structure of Hf2TaHRh.

a = 5.2507 Å, b = 3.1736 Å, c = 5.2507 Å
α = 90.00°, β = 90.00°, γ = 90.00°
Last column: nearest neighbours and their distance in Å.
Atoms (fractional coordinates):
Rh (0.0000, 0.0000, 0.0000)  2 H 1.59
Hf (0.0000, 0.0000, 0.5000)  2 Rh 2.63
Hf (0.5000, 0.0000, 0.0000)  2 Rh 2.63
H (0.0000, 0.5000, 0.0000)  2 Rh 1.59
Ta (0.5000, 0.5000, 0.5000)  8 Hf 3.07, 2 Ta 3.17

As for the crystal system: tetragonal. For the total magnetization, the calculation gives 0.00 μB/cell. The calculation puts the density of states at the Fermi level at 5.05 states/eV/f.u. Its space-group type is P4/mmm (123). Its offset from the most stable computed form is 624 meV per atom.

=====

Record 6
DFT (PBE) results for an optimized crystal structure of SrSbRh2.

a = 3.3590 Å, b = 3.3739 Å, c = 7.9696 Å
α = 64.89°, β = 90.00°, γ = 90.00°
Last column: nearest neighbours and their distance in Å.
Atoms (fractional coordinates):
Rh (0.0000, 0.9479, 0.0514)  4 Sb 2.78, 1 Rh 2.87
Rh (0.0000, 0.5521, 0.4486)  4 Sb 2.78, 1 Rh 2.87
Sb (0.5000, 0.2500, 0.2500)  8 Rh 2.78
Sr (0.5000, 0.7500, 0.7500)  8 Rh 3.22, 4 Sr 3.36-3.37, 2 Sb 3.61

As for the crystal system: monoclinic. For the total magnetization, the calculation gives 0.00 μB/cell. The formation energy (no corrections) is -25.8 kJ per mole of atoms. The calculation puts the density of states at the Fermi level at 2.30 states/eV/f.u. Its space-group type is P2/m (10).

=====

Record 7
DFT (PBE) results for an optimized crystal structure of Sb2TePdO.

a = 4.7118 Å, b = 4.7118 Å, c = 4.8326 Å
α = 90.00°, β = 90.00°, γ = 90.00°
Last column: nearest neighbours and their distance in Å.
Atoms (fractional coordinates):
Sb (0.0000, 0.5000, 0.0000)  2 O 2.36
Sb (0.5000, 0.0000, 0.0000)  2 O 2.36
Te (0.0000, 0.0000, 0.5000)  2 O 2.42
O (0.0000, 0.0000, 0.0000)  4 Sb 2.36, 2 Te 2.42
Pd (0.5000, 0.5000, 0.5000)  4 Te 3.33, 8 Sb 3.37

As for the crystal system: tetragonal. For the total magnetization, the calculation gives 0.00 μB/cell. The formation energy (no corrections) is 9.4 kJ per mole of atoms. The calculation puts the density of states at the Fermi level at 3.56 states/eV/f.u. Its space-group type is P4/mmm (123). Its offset from the most stable computed form is 0 meV per atom.

=====

Record 8
DFT (PBE) results for an optimized crystal structure of Mg4InBr.

a = 5.9566 Å, b = 5.9566 Å, c = 5.9566 Å
α = 60.00°, β = 60.00°, γ = 60.00°
Last column: nearest neighbours and their distance in Å.
Atoms (fractional coordinates):
Mg (0.8790, 0.3737, 0.3737)  6 Mg 2.95-3.01
Mg (0.3737, 0.3737, 0.8790)  6 Mg 2.95-3.01
Mg (0.3737, 0.8790, 0.3737)  6 Mg 2.95-3.01
Mg (0.3737, 0.3737, 0.3737)  6 Mg 2.95-3.01
In (0.0000, 0.0000, 0.0000)  12 Mg 3.49, 4 Br 3.65
Br (0.7500, 0.7500, 0.7500)  12 Mg 3.50, 4 In 3.65

As for the crystal system: cubic. For the total magnetization, the calculation gives 0.00 μB/cell. The formation energy (no corrections) is -3.4 kJ per mole of atoms. The calculation puts the density of states at the Fermi level at 1.84 states/eV/f.u. Its space-group type is F-43m (216).

=====

Record 9
DFT (PBE) results for an optimized crystal structure of Ho4PuZn5.

a = 3.5499 Å, b = 3.5499 Å, c = 17.7986 Å
α = 90.00°, β = 90.00°, γ = 90.00°
Last column: nearest neighbours and their distance in Å.
Atoms (fractional coordinates):
Ho (0.0000, 0.0000, 0.2016)  8 Zn 3.04-3.07
Ho (0.0000, 0.0000, 0.4006)  8 Zn 3.07
Ho (0.0000, 0.0000, 0.5994)  8 Zn 3.07
Ho (0.0000, 0.0000, 0.7984)  8 Zn 3.04-3.07
Pu (0.0000, 0.0000, 0.0000)  8 Zn 3.13
Zn (0.5000, 0.5000, 0.1053)  4 Ho 3.04, 4 Pu 3.13
Zn (0.5000, 0.5000, 0.3009)  8 Ho 3.07
Zn (0.5000, 0.5000, 0.5000)  8 Ho 3.07
Zn (0.5000, 0.5000, 0.6991)  8 Ho 3.07
Zn (0.5000, 0.5000, 0.8947)  4 Ho 3.04, 4 Pu 3.13

As for the crystal system: tetragonal. As for the total energy: -0.1537 hartree per atom. For the total magnetization, the calculation gives 6.24 μB/cell. The calculation puts the density of states at the Fermi level at 12.73 states/eV/f.u. Its space-group type is P4/mmm (123).

=====

Record 10
DFT (PBE) results for an optimized crystal structure of Ac2Pm5PrTm.

a = 5.8464 Å, b = 10.7260 Å, c = 10.9358 Å
α = 90.00°, β = 90.00°, γ = 105.82°
Last column: nearest neighbours and their distance in Å.
Atoms (fractional coordinates):
Ac (0.8832, 0.7663, 0.8162)  8 Pm 3.39-3.68
Ac (0.1143, 0.2285, 0.7313)  9 Pm 3.58-3.97, 1 Tm 3.59, 2 Pr 3.92
Ac (0.1168, 0.2337, 0.3162)  8 Pm 3.39-3.68
Ac (0.8857, 0.7715, 0.2313)  9 Pm 3.58-3.97, 1 Tm 3.59, 2 Pr 3.92
Pm (0.3844, 0.7688, 0.0189)  6 Pm 3.65-4.02, 4 Ac 3.67-3.73, 1 Tm 3.69
Pm (0.7188, 0.4375, 0.8137)  1 Pr 3.13, 1 Ac 3.39
Pm (0.4842, 0.9684, 0.7425)  2 Pr 3.28-3.39, 2 Pm 3.65-3.66
Pm (0.2945, 0.5890, 0.7051)  4 Pm 3.52-3.94, 1 Pr 3.53, 3 Tm 3.62-3.81, 3 Ac 3.66-3.73
Pm (0.9818, 0.9636, 0.5201)  2 Pr 3.33, 3 Ac 3.57-3.73
Pm (0.6156, 0.2312, 0.5189)  6 Pm 3.65-4.02, 4 Ac 3.67-3.73, 1 Tm 3.69
Pm (0.2812, 0.5625, 0.3137)  1 Pr 3.13, 1 Ac 3.39
Pm (0.5158, 0.0316, 0.2425)  2 Pr 3.28-3.39, 2 Pm 3.65-3.66
Pm (0.7055, 0.4110, 0.2051)  4 Pm 3.52-3.94, 1 Pr 3.53, 3 Tm 3.62-3.81, 3 Ac 3.66-3.73
Pm (0.0182, 0.0364, 0.0201)  2 Pr 3.33, 3 Ac 3.57-3.73
Pr (0.5904, 0.1808, 0.9661)  5 Pm 3.13-3.39
Pr (0.4096, 0.8192, 0.4661)  5 Pm 3.13-3.39
Tm (0.7945, 0.5890, 0.5102)  2 Ac 3.59-3.81, 8 Pm 3.62-3.87, 2 Pr 3.80
Tm (0.2055, 0.4110, 0.0102)  2 Ac 3.59-3.81, 8 Pm 3.62-3.87, 2 Pr 3.80

As for the crystal system: orthorhombic. As for the total energy: -0.1632 hartree per atom. For the total magnetization, the calculation gives 0.00 μB/cell. The calculation puts the density of states at the Fermi level at 12.30 states/eV/f.u. Its space-group type is Cmc2_1 (36).

=====

Record 11
DFT (PBE) results for an optimized crystal structure of HfGa2Fe9.

a = 4.8404 Å, b = 4.8404 Å, c = 8.1953 Å
α = 72.82°, β = 72.82°, γ = 60.00°
Last column: nearest neighbours and their distance in Å.
Atoms (fractional coordinates):
Hf (0.0000, 0.0000, 0.0000)  6 Fe 2.79
Ga (0.8602, 0.8602, 0.4194)  12 Fe 2.72-2.86
Ga (0.1398, 0.1398, 0.5806)  12 Fe 2.72-2.86
Fe (0.6654, 0.6654, 0.0039)  6 Fe 2.43-2.45
Fe (0.3346, 0.3346, 0.9961)  6 Fe 2.43-2.45
Fe (0.5000, 0.5000, 0.5000)  6 Fe 2.34
Fe (0.4101, 0.4101, 0.2594)  7 Fe 2.34-2.47
Fe (0.9204, 0.4101, 0.2594)  7 Fe 2.34-2.47
Fe (0.4101, 0.9204, 0.2594)  7 Fe 2.34-2.47
Fe (0.5899, 0.5899, 0.7406)  7 Fe 2.34-2.47
Fe (0.5899, 0.0796, 0.7406)  7 Fe 2.34-2.47
Fe (0.0796, 0.5899, 0.7406)  7 Fe 2.34-2.47

As for the crystal system: trigonal. As for the total energy: -0.2833 hartree per atom. For the total magnetization, the calculation gives 17.56 μB/cell. The calculation puts the density of states at the Fermi level at 10.17 states/eV/f.u. Its space-group type is R-3m (166).

=====

Record 12
DFT (PBE) results for an optimized crystal structure of CeHoTlSn.

a = 3.9740 Å, b = 3.9740 Å, c = 7.0749 Å
α = 90.00°, β = 90.00°, γ = 90.00°
Last column: nearest neighbours and their distance in Å.
Atoms (fractional coordinates):
Ce (0.5000, 0.5000, 0.1169)  4 Sn 3.34, 2 Ho 3.39-3.68, 4 Tl 3.42
Ho (0.5000, 0.5000, 0.5966)  4 Sn 3.23, 4 Tl 3.30, 1 Ce 3.39
Tl (0.0000, 0.0000, 0.8422)  4 Ho 3.30, 1 Sn 3.32, 4 Ce 3.42
Sn (0.0000, 0.0000, 0.3723)  4 Ho 3.23, 1 Tl 3.32, 4 Ce 3.34

As for the crystal system: tetragonal. For the total magnetization, the calculation gives 1.48 μB/cell. The calculation puts the density of states at the Fermi level at 8.48 states/eV/f.u. Its space-group type is P4mm (99). Its offset from the most stable computed form is 0 meV per atom.